The following is a GGA-PBE calculation of an optimized crystal structure of TaRe2Ni, from the Alexandria database.

Values from the calculation:
electronic total energy	-10.43	eV/atom
Fermi-level density of states	15.05	states/eV/cell
ΔE_f	0.20	eV per atom
magnetization	0.0	μB per formula unit
relative energy among the computed polymorphs	0.308	eV/atom

a = 2.7486 Å, b = 2.7486 Å, c = 27.5905 Å
α = 90.00°, β = 90.00°, γ = 120.00°
Space group R-3m (No. 166, hexagonal axes)
One atom of each set of equivalent atoms:
Ta 0.0000 0.0000 0.0000
Re 0.0000 0.0000 0.2427
Ni 0.0000 0.0000 0.5000


The following is a GGA-PBE calculation of an optimized crystal structure of TaRe2Ni, from the Alexandria database.

Values from the calculation:
electronic total energy	-10.65	eV/atom
Fermi-level density of states	4.23	states/eV/cell
ΔE_f	-0.02	eV per atom
magnetization	0.0	μB per formula unit
relative energy among the computed polymorphs	0.092	eV/atom

a = 2.836 Å, b = 3.809 Å, c = 5.529 Å
α = 90.00°, β = 90.00°, γ = 90.00°
Space group Pmm2 (No. 25)
One atom of each set of equivalent atoms:
Ta 0.000 0.000 0.000
Re 0.000 0.000 0.493
Re 0.500 0.500 0.716
Ni 0.500 0.500 0.238


The following is a GGA-PBE calculation of an optimized crystal structure of Ta2ReNi, from the Alexandria database.

Values from the calculation:
electronic total energy	-10.51	eV/atom
Fermi-level density of states	7.32	states/eV/cell
ΔE_f	-0.03	eV per atom
magnetization	0.0	μB per formula unit

a = 3.884 Å, b = 3.884 Å, c = 8.323 Å
α = 90.00°, β = 90.00°, γ = 90.00°
Space group I-4m2 (No. 119)
One atom of each set of equivalent atoms:
Ta 0.000 0.000 0.000
Ta 0.000 0.500 0.250
Re 0.000 0.000 0.500
Ni 0.000 0.500 0.750


The following is a GGA-PBE calculation of an optimized crystal structure of TaReNi2, from the Alexandria database.

Values from the calculation:
electronic total energy	-8.50	eV/atom
Fermi-level density of states	12.46	states/eV/cell
ΔE_f	0.47	eV per atom
magnetization	0.0	μB per formula unit
relative energy among the computed polymorphs	0.618	eV/atom

a = 3.689 Å, b = 3.689 Å, c = 17.742 Å
α = 90.00°, β = 90.00°, γ = 90.00°
Space group I-42d (No. 122)
One atom of each set of equivalent atoms:
Ta 0.000 0.000 0.000
Re 0.000 0.000 0.500
Ni 0.239 0.250 0.625


The following is a GGA-PBE calculation of an optimized crystal structure of Ta2ReNi, from the Alexandria database.

Values from the calculation:
electronic total energy	-10.51	eV/atom
Fermi-level density of states	5.23	states/eV/cell
ΔE_f	-0.03	eV per atom
magnetization	0.0	μB per formula unit

a = 3.349 Å, b = 4.365 Å, c = 8.531 Å
α = 90.00°, β = 90.00°, γ = 90.00°
Space group Cmm2 (No. 35)
One atom of each set of equivalent atoms:
Ta 0.000 0.000 0.000
Ta 0.000 0.500 0.280
Re 0.000 0.000 0.542
Ni 0.000 0.500 0.763


The following is a GGA-PBE calculation of an optimized crystal structure of TaRe2Ni, from the Alexandria database.

Values from the calculation:
electronic total energy	-10.53	eV/atom
Fermi-level density of states	5.72	states/eV/cell
ΔE_f	0.11	eV per atom
magnetization	0.0	μB per formula unit
relative energy among the computed polymorphs	0.215	eV/atom

a = 5.451 Å, b = 7.789 Å, c = 2.818 Å
α = 90.00°, β = 90.00°, γ = 90.00°
Space group Cmmm (No. 65)
One atom of each set of equivalent atoms:
Ta 0.000 0.000 0.000
Re 0.250 0.250 0.500
Ni 0.000 0.500 0.000